Entry 1:
DFT (PBE) results for crystalline Y4TlCdO at its relaxed geometry.

Cell lengths 6.619, 6.620, 8.707 Å; angles 90.00, 112.34, 90.00 degrees
Atoms (fractional coordinates):
Y  0.000  0.000  0.500
Y  0.500  0.500  0.500
Y  0.423  0.750  0.847
Y  0.079  0.750  0.159
Y  0.000  0.500  0.500
Y  0.577  0.250  0.153
Y  0.921  0.250  0.841
Y  0.500  0.000  0.500
Tl  0.113  0.250  0.225
Tl  0.887  0.750  0.775
O  0.249  0.750  0.498
O  0.751  0.250  0.502
Cd  0.385  0.250  0.769
Cd  0.615  0.750  0.231

## Properties
V = 25.2 A^3/atom
Formation energy from raw total energies = -1.010 eV per atom

Entry 2:
DFT (PBE) results for crystalline Tm2CdO at its relaxed geometry.

Cell lengths 3.404, 3.404, 9.060 Å; angles 79.17, 79.17, 60.00 degrees
Atoms (fractional coordinates):
Cd  0.000  0.000  0.000
Tm  0.117  0.117  0.650
Tm  0.883  0.883  0.350
O  0.500  0.500  0.500

## Properties
V = 22.2 A^3/atom
Formation energy from raw total energies = -1.175 eV per atom

Entry 3:
DFT (PBE) results for crystalline Tm2CdO4 at its relaxed geometry.

Cell lengths 6.701, 6.701, 6.706 Å; angles 59.98, 59.98, 89.93 degrees
Atoms (fractional coordinates):
O  0.291  0.764  0.473
O  0.709  0.236  0.527
O  0.263  0.237  0.973
O  0.264  0.791  0.973
O  0.737  0.763  0.027
O  0.737  0.763  0.473
O  0.263  0.237  0.527
O  0.736  0.209  0.027
Cd  0.125  0.375  0.250
Cd  0.875  0.625  0.750
Tm  0.500  0.500  0.500
Tm  0.500  0.000  0.500
Tm  0.000  0.000  0.000
Tm  0.500  0.000  0.000

## Properties
V = 15.2 A^3/atom
Formation energy from raw total energies = -2.878 eV per atom

Entry 4:
DFT (PBE) results for crystalline Tm12Cd3O5 at its relaxed geometry.

Cell lengths 13.264, 13.264, 13.264 Å; angles 109.47, 109.47, 109.47 degrees
Atoms (fractional coordinates):
Tm  0.311  0.803  0.409
Tm  0.605  0.008  0.197
Tm  0.895  0.591  0.902
Tm  0.803  0.311  0.909
Tm  0.492  0.803  0.895
Tm  0.189  0.091  0.697
Tm  0.402  0.395  0.591
Tm  0.992  0.395  0.303
Tm  0.508  0.311  0.902
Tm  0.409  0.105  0.598
Tm  0.105  0.409  0.098
Tm  0.008  0.605  0.697
Tm  0.105  0.697  0.508
Tm  0.909  0.811  0.803
Tm  0.895  0.303  0.492
Tm  0.598  0.605  0.409
Tm  0.197  0.508  0.605
Tm  0.909  0.098  0.605
Tm  0.803  0.492  0.395
Tm  0.811  0.902  0.008
Tm  0.091  0.189  0.197
Tm  0.189  0.098  0.992
Tm  0.591  0.895  0.402
Tm  0.303  0.409  0.811
Tm  0.098  0.189  0.492
Tm  0.395  0.402  0.091
Tm  0.598  0.992  0.689
Tm  0.697  0.591  0.189
Tm  0.409  0.303  0.311
Tm  0.508  0.197  0.105
Tm  0.811  0.909  0.303
Tm  0.902  0.091  0.895
Tm  0.689  0.492  0.598
Tm  0.098  0.909  0.105
Tm  0.492  0.689  0.098
Tm  0.402  0.008  0.311
Tm  0.303  0.895  0.992
Tm  0.395  0.992  0.803
Tm  0.591  0.697  0.689
Tm  0.091  0.902  0.395
Tm  0.311  0.508  0.402
Tm  0.689  0.197  0.591
Tm  0.605  0.598  0.909
Tm  0.008  0.402  0.811
Tm  0.992  0.598  0.189
Tm  0.197  0.689  0.091
Tm  0.697  0.105  0.008
Tm  0.902  0.811  0.508
O  0.250  0.375  0.625
O  0.500  0.000  0.000
O  0.125  0.375  0.250
O  0.500  0.500  0.500
O  0.500  0.500  0.000
O  0.125  0.750  0.375
O  0.625  0.875  0.250
O  0.750  0.125  0.875
O  0.000  0.500  0.500
O  0.375  0.125  0.750
O  0.000  0.000  0.500
O  0.875  0.250  0.625
O  0.500  0.000  0.500
O  0.875  0.625  0.750
O  0.375  0.250  0.125
O  0.000  0.000  0.000
O  0.000  0.500  0.000
O  0.250  0.875  0.125
O  0.625  0.750  0.875
O  0.750  0.625  0.375
Cd  0.375  0.750  0.625
Cd  0.250  0.125  0.375
Cd  0.750  0.375  0.125
Cd  0.125  0.875  0.750
Cd  0.625  0.250  0.375
Cd  0.625  0.375  0.750
Cd  0.750  0.875  0.625
Cd  0.125  0.250  0.875
Cd  0.875  0.750  0.125
Cd  0.875  0.125  0.250
Cd  0.375  0.625  0.250
Cd  0.250  0.625  0.875

## Properties
V = 22.5 A^3/atom
Formation energy from raw total energies = -1.482 eV per atom

Entry 5:
DFT (PBE) results for crystalline TmUCdO6 at its relaxed geometry.

Cell lengths 4.623, 5.767, 5.767 Å; angles 120.00, 90.00, 90.00 degrees
Last column: magnetic moment on the atom in μB.
Atoms (fractional coordinates):
O  0.271  0.991  0.687  0.10
O  0.271  0.695  0.009  0.10
O  0.729  0.313  0.009  0.10
O  0.729  0.991  0.305  0.10
O  0.729  0.695  0.687  0.10
O  0.271  0.313  0.305  0.10
Cd  0.000  0.333  0.667  0.01
U  0.500  0.000  0.000  0.01
Tm  0.500  0.667  0.333  0.01

## Properties
V = 14.8 A^3/atom
Formation energy from raw total energies = -2.477 eV per atom